Ce3AlN | GGA-PBE | relaxed

```
data_Ce3AlN
_space_group_name_H-M_alt 'P m -3 m'
_space_group_IT_number 221
_space_group_name_Hall '-P 4 2 3'
_cell_length_a 4.859
_cell_length_b 4.859
_cell_length_c 4.859
_cell_angle_alpha 90.00
_cell_angle_beta 90.00
_cell_angle_gamma 90.00
loop_
_atom_site_label
_atom_site_type_symbol
_atom_site_fract_x
_atom_site_fract_y
_atom_site_fract_z
_atom_site_occupancy
Ce1 Ce 0.000 0.000 0.500 1
Al1 Al 0.500 0.500 0.500 1
N1 N 0.000 0.000 0.000 1
```

Summary:
- calculated total energy (eV per atom) = -6.726
- total magnetization (Bohr magnetons per cell) = 2.08
- density of states at the Fermi level (states/eV/f.u.) = 8.01